1.
# RuS2F2 (GGA-PBE, optimized geometry)
data_RuS2F2
_cell_length_a 3.149
_cell_length_b 3.149
_cell_length_c 9.205
_cell_angle_alpha 80.15
_cell_angle_beta 80.15
_cell_angle_gamma 90.00
_symmetry_space_group_name_H-M 'P 1'
_symmetry_Int_Tables_number 1
_symmetry_space_group_name_Hall 'P 1'
loop_
_atom_site_label
_atom_site_type_symbol
_atom_site_fract_x
_atom_site_fract_y
_atom_site_fract_z
Ru1 Ru 0.000 0.000 0.000
S1 S 0.750 0.250 0.500
S2 S 0.250 0.750 0.500
F1 F 0.431 0.431 0.137
F2 F 0.569 0.569 0.863
# crystal system = tetragonal
# D(E_F) = 2.25 states/eV per cell
# offset from the most stable computed form = 314 meV per atom



2.
# InGaCuNi (GGA-PBE, optimized geometry)
data_InGaCuNi
_cell_length_a 4.371
_cell_length_b 4.371
_cell_length_c 4.371
_cell_angle_alpha 60.00
_cell_angle_beta 60.00
_cell_angle_gamma 60.00
_symmetry_space_group_name_H-M 'P 1'
_symmetry_Int_Tables_number 1
_symmetry_space_group_name_Hall 'P 1'
loop_
_atom_site_label
_atom_site_type_symbol
_atom_site_fract_x
_atom_site_fract_y
_atom_site_fract_z
Ni1 Ni 0.750 0.750 0.750
Cu1 Cu 0.250 0.250 0.250
Ga1 Ga 0.500 0.500 0.500
In1 In 0.000 0.000 0.000
# crystal system = cubic
# D(E_F) = 1.98 states/eV per cell
# ΔH_f (0 K) = -0.0333 eV per atom



3.
# CrCSe2N (GGA-PBE, optimized geometry)
data_CrCSe2N
_cell_length_a 4.827
_cell_length_b 4.827
_cell_length_c 3.492
_cell_angle_alpha 90.00
_cell_angle_beta 90.00
_cell_angle_gamma 90.00
_symmetry_space_group_name_H-M 'P 1'
_symmetry_Int_Tables_number 1
_symmetry_space_group_name_Hall 'P 1'
loop_
_atom_site_label
_atom_site_type_symbol
_atom_site_fract_x
_atom_site_fract_y
_atom_site_fract_z
Cr1 Cr 0.000 0.000 0.000
C1 C 0.500 0.500 0.500
Se1 Se 0.000 0.500 0.000
Se2 Se 0.500 0.000 0.000
N1 N 0.000 0.000 0.500
# crystal system = tetragonal
# D(E_F) = 2.42 states/eV per cell
# offset from the most stable computed form = 543 meV per atom



4.
# BaLiLa3 (GGA-PBE, optimized geometry)
data_BaLiLa3
_cell_length_a 5.840
_cell_length_b 5.840
_cell_length_c 5.840
_cell_angle_alpha 90.00
_cell_angle_beta 90.00
_cell_angle_gamma 90.00
_symmetry_space_group_name_H-M 'P 1'
_symmetry_Int_Tables_number 1
_symmetry_space_group_name_Hall 'P 1'
loop_
_atom_site_label
_atom_site_type_symbol
_atom_site_fract_x
_atom_site_fract_y
_atom_site_fract_z
Li1 Li 0.000 0.000 0.000
Ba1 Ba 0.500 0.500 0.500
La1 La 0.000 0.500 0.000
La2 La 0.000 0.000 0.500
La3 La 0.500 0.000 0.000
# crystal system = cubic
# D(E_F) = 8.16 states/eV per cell
# ΔH_f (0 K) = 0.3547 eV per atom
# offset from the most stable computed form = 0 meV per atom



5.
# KSn2Se4 (GGA-PBE, optimized geometry)
data_KSn2Se4
_cell_length_a 4.115
_cell_length_b 7.160
_cell_length_c 13.903
_cell_angle_alpha 90.00
_cell_angle_beta 90.00
_cell_angle_gamma 106.70
_symmetry_space_group_name_H-M 'P 1'
_symmetry_Int_Tables_number 1
_symmetry_space_group_name_Hall 'P 1'
loop_
_atom_site_label
_atom_site_type_symbol
_atom_site_fract_x
_atom_site_fract_y
_atom_site_fract_z
K1 K 0.604 0.209 0.750
K2 K 0.396 0.791 0.250
Sn1 Sn 0.139 0.277 0.432
Sn2 Sn 0.861 0.723 0.932
Sn3 Sn 0.139 0.277 0.068
Sn4 Sn 0.861 0.723 0.568
Se1 Se 0.770 0.540 0.109
Se2 Se 0.770 0.540 0.391
Se3 Se 0.230 0.460 0.891
Se4 Se 0.230 0.460 0.609
Se5 Se 0.928 0.856 0.750
Se6 Se 0.072 0.144 0.250
Se7 Se 0.500 0.000 0.000
Se8 Se 0.500 0.000 0.500
# crystal system = orthorhombic
# D(E_F) = 4.85 states/eV per cell
# DFT total energy = -3.8261 eV/atom



6.
# FePbW4 (GGA-PBE, optimized geometry)
data_FePbW4
_cell_length_a 5.360
_cell_length_b 5.360
_cell_length_c 5.360
_cell_angle_alpha 60.00
_cell_angle_beta 60.00
_cell_angle_gamma 60.00
_symmetry_space_group_name_H-M 'P 1'
_symmetry_Int_Tables_number 1
_symmetry_space_group_name_Hall 'P 1'
loop_
_atom_site_label
_atom_site_type_symbol
_atom_site_fract_x
_atom_site_fract_y
_atom_site_fract_z
Fe1 Fe 0.750 0.750 0.750
Pb1 Pb 0.000 0.000 0.000
W1 W 0.872 0.376 0.376
W2 W 0.376 0.376 0.872
W3 W 0.376 0.872 0.376
W4 W 0.376 0.376 0.376
# crystal system = cubic
# D(E_F) = 4.05 states/eV per cell
# ΔH_f (0 K) = 0.8490 eV per atom



7.
# Y6Er2Th3Sc (GGA-PBE, optimized geometry)
data_Y6Er2Th3Sc
_cell_length_a 6.153
_cell_length_b 6.153
_cell_length_c 11.680
_cell_angle_alpha 95.07
_cell_angle_beta 95.07
_cell_angle_gamma 119.98
_symmetry_space_group_name_H-M 'P 1'
_symmetry_Int_Tables_number 1
_symmetry_space_group_name_Hall 'P 1'
loop_
_atom_site_label
_atom_site_type_symbol
_atom_site_fract_x
_atom_site_fract_y
_atom_site_fract_z
Y1 Y 0.917 0.586 0.750
Y2 Y 0.751 0.751 0.251
Y3 Y 0.083 0.414 0.250
Y4 Y 0.586 0.917 0.750
Y5 Y 0.249 0.249 0.749
Y6 Y 0.414 0.083 0.250
Er1 Er 0.334 0.666 0.000
Er2 Er 0.666 0.334 0.000
Th1 Th 0.167 0.833 0.500
Th2 Th 0.833 0.167 0.500
Th3 Th 0.500 0.500 0.500
Sc1 Sc 0.000 0.000 0.000
# crystal system = monoclinic
# D(E_F) = 20.10 states/eV per cell
# ΔH_f (0 K) = 0.0408 eV per atom



8.
# Cu2POs (GGA-PBE, optimized geometry)
data_Cu2POs
_cell_length_a 2.885
_cell_length_b 3.810
_cell_length_c 4.769
_cell_angle_alpha 90.00
_cell_angle_beta 90.00
_cell_angle_gamma 90.00
_symmetry_space_group_name_H-M 'P 1'
_symmetry_Int_Tables_number 1
_symmetry_space_group_name_Hall 'P 1'
loop_
_atom_site_label
_atom_site_type_symbol
_atom_site_fract_x
_atom_site_fract_y
_atom_site_fract_z
Cu1 Cu 0.000 0.000 0.001
Cu2 Cu 0.000 0.000 0.499
Os1 Os 0.500 0.500 0.250
P1 P 0.500 0.500 0.750
# crystal system = orthorhombic
# D(E_F) = 3.55 states/eV per cell
# ΔH_f (0 K) = 0.3395 eV per atom



9.
# Nd3Sm2Y (GGA-PBE, optimized geometry)
data_Nd3Sm2Y
_cell_length_a 11.281
_cell_length_b 8.972
_cell_length_c 8.972
_cell_angle_alpha 45.92
_cell_angle_beta 51.05
_cell_angle_gamma 51.05
_symmetry_space_group_name_H-M 'P 1'
_symmetry_Int_Tables_number 1
_symmetry_space_group_name_Hall 'P 1'
loop_
_atom_site_label
_atom_site_type_symbol
_atom_site_fract_x
_atom_site_fract_y
_atom_site_fract_z
Nd1 Nd 0.500 0.250 0.750
Nd2 Nd 0.500 0.750 0.250
Nd3 Nd 0.237 0.013 0.513
Nd4 Nd 0.763 0.487 0.987
Nd5 Nd 0.763 0.987 0.487
Nd6 Nd 0.237 0.513 0.013
Sm1 Sm 0.944 0.301 0.301
Sm2 Sm 0.547 0.199 0.199
Sm3 Sm 0.453 0.801 0.801
Sm4 Sm 0.056 0.699 0.699
Y1 Y 0.000 0.500 0.500
Y2 Y 0.000 0.000 0.000
# crystal system = orthorhombic
# D(E_F) = 21.69 states/eV per cell
# ΔH_f (0 K) = 0.5583 eV per atom
# offset from the most stable computed form = 492 meV per atom



10.
# Mg3TiAu (GGA-PBE, optimized geometry)
data_Mg3TiAu
_cell_length_a 5.323
_cell_length_b 5.323
_cell_length_c 5.323
_cell_angle_alpha 90.00
_cell_angle_beta 90.00
_cell_angle_gamma 90.00
_symmetry_space_group_name_H-M 'P 1'
_symmetry_Int_Tables_number 1
_symmetry_space_group_name_Hall 'P 1'
loop_
_atom_site_label
_atom_site_type_symbol
_atom_site_fract_x
_atom_site_fract_y
_atom_site_fract_z
Mg1 Mg 0.000 0.500 0.000
Mg2 Mg 0.000 0.000 0.500
Mg3 Mg 0.500 0.000 0.000
Au1 Au 0.500 0.500 0.500
Ti1 Ti 0.000 0.000 0.000
# crystal system = cubic
# D(E_F) = 4.77 states/eV per cell
# ΔH_f (0 K) = 1.0812 eV per atom
# offset from the most stable computed form = 713 meV per atom



11.
# Y6MgSc2 (GGA-PBE, optimized geometry)
data_Y6MgSc2
_cell_length_a 5.292
_cell_length_b 10.061
_cell_length_c 10.068
_cell_angle_alpha 90.00
_cell_angle_beta 90.00
_cell_angle_gamma 90.00
_symmetry_space_group_name_H-M 'P 1'
_symmetry_Int_Tables_number 1
_symmetry_space_group_name_Hall 'P 1'
loop_
_atom_site_label
_atom_site_type_symbol
_atom_site_fract_x
_atom_site_fract_y
_atom_site_fract_z
Y1 Y 0.000 0.036 0.179
Y2 Y 0.000 0.679 0.537
Y3 Y 0.000 0.627 0.874
Y4 Y 0.500 0.127 0.626
Y5 Y 0.500 0.179 0.963
Y6 Y 0.500 0.536 0.321
Y7 Y 0.000 0.964 0.821
Y8 Y 0.000 0.321 0.463
Y9 Y 0.000 0.373 0.126
Y10 Y 0.500 0.873 0.374
Y11 Y 0.500 0.821 0.037
Y12 Y 0.500 0.464 0.679
Mg1 Mg 0.500 0.500 0.000
Mg2 Mg 0.000 0.000 0.500
Sc1 Sc 0.000 0.293 0.792
Sc2 Sc 0.500 0.793 0.708
Sc3 Sc 0.500 0.207 0.292
Sc4 Sc 0.000 0.707 0.208
# crystal system = orthorhombic
# D(E_F) = 33.38 states/eV per cell
# ΔH_f (0 K) = 0.0418 eV per atom